Record 1
## La5Ce3As8 (GGA-PBE)

Data for La5Ce3As8 after structural relaxation.

**Calculated total energy**: -6.494 eV per atom
**M_tot**: 0.1259 μB per atom
**DFT formation energy**: -1.517 eV/atom

Cell and atoms, written as CIF:
```
data_La5Ce3As8
_chemical_formula_sum 'La5 Ce3 As8'
_cell_length_a 8.641
_cell_length_b 8.641
_cell_length_c 8.641
_cell_angle_alpha 59.96
_cell_angle_beta 59.96
_cell_angle_gamma 59.96
_symmetry_space_group_name_H-M 'P 1'
_symmetry_Int_Tables_number 1
loop_
_symmetry_equiv_pos_as_xyz
'x,y,z'
loop_
_atom_site_label
_atom_site_type_symbol
_atom_site_fract_x
_atom_site_fract_y
_atom_site_fract_z
La1 La 0.000 0.000 0.000
La2 La 0.000 0.500 0.500
La3 La 0.500 0.000 0.500
La4 La 0.500 0.500 0.000
La5 La 0.500 0.500 0.500
Ce1 Ce 0.000 0.000 0.500
Ce2 Ce 0.000 0.500 0.000
Ce3 Ce 0.500 0.000 0.000
As1 As 0.243 0.750 0.750
As2 As 0.247 0.247 0.247
As3 As 0.250 0.250 0.757
As4 As 0.250 0.757 0.250
As5 As 0.750 0.243 0.750
As6 As 0.750 0.750 0.243
As7 As 0.753 0.753 0.753
As8 As 0.757 0.250 0.250
```

Record 2
## Y2AgSbPd (GGA-PBE)

Data for Y2AgSbPd after structural relaxation.

**Calculated total energy**: -4.717 eV per atom
**M_tot**: 0.0000 μB per atom
**Raw formation energy**: 0.3022 eV per atom

Cell and atoms, written as CIF:
```
data_Y2AgSbPd
_chemical_formula_sum 'Y2 Ag1 Sb1 Pd1'
_cell_length_a 5.486
_cell_length_b 5.486
_cell_length_c 4.937
_cell_angle_alpha 90.00
_cell_angle_beta 90.00
_cell_angle_gamma 90.00
_symmetry_space_group_name_H-M 'P 1'
_symmetry_Int_Tables_number 1
loop_
_symmetry_equiv_pos_as_xyz
'x,y,z'
loop_
_atom_site_label
_atom_site_type_symbol
_atom_site_fract_x
_atom_site_fract_y
_atom_site_fract_z
Y1 Y 0.000 0.500 0.000
Y2 Y 0.500 0.000 0.000
Ag1 Ag 0.000 0.000 0.000
Sb1 Sb 0.000 0.000 0.500
Pd1 Pd 0.500 0.500 0.500
```

Record 3
## MgTcIr (GGA-PBE)

Data for MgTcIr after structural relaxation.

**Polymorph energy (0 for the lowest one)**: 0.214 eV per atom
**Calculated total energy**: -6.922 eV per atom
**M_tot**: 0.0000 μB per atom
**DFT formation energy**: 0.019 eV/atom

Cell and atoms, written as CIF:
```
data_MgTcIr
_chemical_formula_sum 'Mg1 Tc1 Ir1'
_cell_length_a 2.794
_cell_length_b 2.794
_cell_length_c 6.877
_cell_angle_alpha 90.00
_cell_angle_beta 90.00
_cell_angle_gamma 120.00
_symmetry_space_group_name_H-M 'P 1'
_symmetry_Int_Tables_number 1
loop_
_symmetry_equiv_pos_as_xyz
'x,y,z'
loop_
_atom_site_label
_atom_site_type_symbol
_atom_site_fract_x
_atom_site_fract_y
_atom_site_fract_z
Mg1 Mg 0.000 0.000 0.000
Tc1 Tc 0.333 0.667 0.352
Ir1 Ir 0.667 0.333 0.660
```